First-principles (PBE) data for crystalline PmDy2ErTe6 at its relaxed geometry, as listed in Alexandria via LeMat-Bulk.

Cell: 8.339 8.339 8.339 Å, 55.21 55.21 55.21°
Sites, in units of the cell vectors:
Pm 0.000 0.000 0.000
Dy 0.187 0.187 0.187
Dy 0.689 0.689 0.689
Er 0.502 0.502 0.502
Te 0.096 0.413 0.779
Te 0.291 0.908 0.585
Te 0.413 0.779 0.096
Te 0.585 0.291 0.908
Te 0.779 0.096 0.413
Te 0.908 0.585 0.291

The uncorrected formation energy is -1361 meV/atom. As for the space group: R3.


First-principles (PBE) data for crystalline PmDyEr3Th at its relaxed geometry, as listed in Alexandria via LeMat-Bulk.

Cell: 10.247 10.247 6.972 Å, 90.61 90.61 31.75°
Sites, in units of the cell vectors:
Pm 0.146 0.146 0.461
Pm 0.854 0.854 0.539
Dy 0.150 0.150 0.034
Dy 0.850 0.850 0.966
Er 0.023 0.023 0.754
Er 0.279 0.279 0.746
Er 0.340 0.340 0.241
Er 0.660 0.660 0.759
Er 0.721 0.721 0.254
Er 0.977 0.977 0.246
Th 0.445 0.445 0.772
Th 0.555 0.555 0.228

As for the space group: C2/m. The calculation puts the calculated formation energy at 1.3 eV/f.u.


Number 1: total DFT energy (no corrections) -5.10 eV per atom, total moment 0.000 μB/cell. Number 2: total DFT energy (no corrections) -4.86 eV per atom, total moment 0.000 μB/cell.